[1]
Entry from Alexandria: crystalline Hf2CrAu at its relaxed geometry (PBE).

Geometry as extended XYZ:
```
4
Lattice="0.0000 3.3026 3.3026 3.3026 0.0000 3.3026 3.3026 3.3026 0.0000" Properties=species:S:1:pos:R:3 pbc="T T T"
Hf 4.9540 4.9540 4.9540
Hf 1.6513 1.6513 1.6513
Cr 0.0000 0.0000 0.0000
Au 3.3026 3.3026 3.3026
```

Properties
Polymorph energy (0 for the lowest one) ... 139 meV per atom
Space group ... No. 225
Calculated formation energy ... -9 kJ/mol of atoms
Magnetic moment ... 0.0 μB per formula unit

***

[2]
Entry from Alexandria: crystalline CrCu2Te6Au at its relaxed geometry (PBE).

Geometry as extended XYZ:
```
20
Lattice="7.3139 -0.3886 -0.4033 1.6784 8.5094 0.1777 1.6784 -0.1378 8.5102" Properties=species:S:1:pos:R:3 pbc="T T T"
Te 8.3106 5.9188 4.5577
Te 4.6537 4.5296 6.2853
Te 5.9374 0.2106 5.1275
Au 7.1638 5.9408 2.0695
Cr 3.5068 7.7022 0.7611
Cu 3.4524 3.3792 1.8058
Cu 7.2182 4.6039 6.4788
Te 4.7332 7.7725 3.1570
Cr 7.1638 0.2808 7.5235
Te 7.5017 6.4883 8.2551
Te 6.0170 3.4535 1.9993
Te 3.1689 1.4947 0.0295
Te 2.3600 2.0642 3.7268
Cu 3.5612 6.4980 5.0425
Te 3.8448 8.2033 6.9914
Cu 7.1094 1.4850 3.2421
Te 2.2805 5.3105 0.6021
Au 3.5068 2.0422 6.2151
Te 6.8259 -0.2203 1.2931
Te 8.3902 2.6725 7.6825
```

Properties
Space group ... No. 15
Magnetic moment ... 2.7 μB per formula unit
ΔE_f (raw) ... -0.060 eV per atom

***

[3]
Entry from Alexandria: crystalline LaYBiTe at its relaxed geometry (PBE).

Geometry as extended XYZ:
```
4
Lattice="-2.6816 -2.5847 2.6055 1.7583 -3.5074 2.2950 1.0137 2.3940 7.3830" Properties=species:S:1:pos:R:3 pbc="T T T"
Bi -0.6840 -5.2906 5.9420
La 0.2909 -2.0265 10.1834
Te 0.2478 -1.1707 7.0232
Y 0.2439 -0.1837 4.0336
```

Properties
Space group ... No. 160
Magnetic moment ... 0.0 μB per formula unit
ΔE_f (raw) ... -1.235 eV per atom